No. 1
Entry from Alexandria via LeMat-Bulk: crystalline TbHI at its relaxed geometry (PBE).

Lattice parameters (Å, degrees): 7.7186 7.2160 9.4232 53.29 48.55 78.16
Sites, in units of the cell vectors:
Tb (0.1875, 0.8125, 0.4327)
Tb (0.6827, 0.8173, 0.4375)
Tb (0.8125, 0.1875, 0.5673)
Tb (0.8173, 0.6827, 0.0625)
H (0.5620, 0.8024, 0.2850)
H (0.8024, 0.5620, 0.3506)
H (0.8994, 0.9650, 0.4476)
H (0.9650, 0.8994, 0.6880)
I (0.3086, 0.4693, 0.3044)
I (0.3323, 0.9456, 0.7807)
I (0.4693, 0.3086, 0.9177)
I (0.9456, 0.3323, 0.9414)

Properties
The uncorrected energy comes out at -3.830 eV per atom. The size of the total moment is 0.00 μB/cell. Its symmetry is Fdd2.

---

No. 2
Entry from Alexandria via LeMat-Bulk: crystalline TbHI3 at its relaxed geometry (PBE).

Lattice parameters (Å, degrees): 8.3414 8.0865 14.2340 90.00 108.32 90.00
Sites, in units of the cell vectors:
Tb (0.0002, 0.2502, 0.0848)
Tb (0.9998, 0.2502, 0.4152)
Tb (0.0002, 0.7498, 0.5848)
Tb (0.9998, 0.7498, 0.9152)
H (0.0448, 0.2074, 0.7671)
H (0.0448, 0.7926, 0.2671)
H (0.9552, 0.2074, 0.7329)
H (0.9552, 0.7926, 0.2329)
I (0.2403, 0.4620, 0.5722)
I (0.2403, 0.5380, 0.0722)
I (0.2406, 0.0368, 0.0174)
I (0.2406, 0.9632, 0.5174)
I (0.2495, 0.2512, 0.2961)
I (0.2495, 0.7488, 0.7961)
I (0.7505, 0.2512, 0.2039)
I (0.7505, 0.7488, 0.7039)
I (0.7594, 0.0368, 0.4826)
I (0.7594, 0.9632, 0.9826)
I (0.7597, 0.4620, 0.9278)
I (0.7597, 0.5380, 0.4278)

Properties
The uncorrected energy comes out at -3.621 eV per atom. The size of the total moment is 0.00 μB/cell. Its symmetry is P2/c.